CrFe3 PBE-GGA relaxed; raw total energy = -8.681 eV/atom
1.0
3.9727 0.0000 0.0000
0.0000 4.9564 0.0000
0.0000 0.0000 4.3146
Cr Fe
2 6
direct
0.2500 0.2500 0.1625
0.7500 0.7500 0.8375
0.2500 0.9998 0.6653
0.2500 0.5002 0.6653
0.2500 0.7500 0.1708
0.7500 0.0002 0.3347
0.7500 0.2500 0.8292
0.7500 0.4998 0.3347

---

Rb4Np3AgO12 PBE-GGA relaxed; ΔE_f (raw) = -2.3365 eV per atom
1.0
-4.3740 4.3740 4.3740
4.3740 -4.3740 4.3740
4.3740 4.3740 -4.3740
Rb Np Ag O
4 3 1 12
direct
0.0000 0.0000 0.5000
0.0000 0.5000 0.0000
0.5000 0.0000 0.0000
0.5000 0.5000 0.5000
0.0000 0.5000 0.5000
0.5000 0.0000 0.5000
0.5000 0.5000 0.0000
0.0000 0.0000 0.0000
0.0000 0.2838 0.2838
0.0000 0.7162 0.7162
0.2500 0.5000 0.7500
0.2500 0.7500 0.5000
0.2838 0.0000 0.2838
0.2838 0.2838 0.0000
0.5000 0.2500 0.7500
0.5000 0.7500 0.2500
0.7162 0.0000 0.7162
0.7162 0.7162 0.0000
0.7500 0.2500 0.5000
0.7500 0.5000 0.2500

---

Na3BiPd4 PBE-GGA relaxed; raw total energy = -3.674 eV/atom
1.0
-2.7369 4.5756 3.9631
2.7369 -4.5756 3.9631
2.7369 4.5756 -3.9631
Na Bi Pd
3 1 4
direct
0.0000 0.0000 0.0000
0.1044 0.3632 0.7412
0.6220 0.3632 0.2588
0.3407 0.8407 0.5000
0.4898 0.7253 0.7645
0.6302 0.3814 0.7512
0.6302 0.8791 0.2488
0.9608 0.7253 0.2355